Computed, not measured: a geometry-optimized Ca2HfScFe structure at the GGA-PBE level of DFT.

abc: 5.451 5.451 4.992
angles: 90.00 90.00 90.00
Space group P4/mmm (No. 123)
Unique sites:
Ca  0.000  0.500  0.000
Hf  0.000  0.000  0.500
Sc  0.000  0.000  0.000
Fe  0.500  0.500  0.500

Values from the calculation:
- formation energy from the elements (eV/f.u.) = 8.61
- E_tot (eV per atom) = -4.028

Computed, not measured: a geometry-optimized CaHf2TaFe structure at the GGA-PBE level of DFT.

abc: 4.864 4.864 4.622
angles: 90.00 90.00 90.00
Space group P4/mmm (No. 123)
Unique sites:
Ca  0.000  0.000  0.000
Hf  0.000  0.500  0.000
Ta  0.000  0.000  0.500
Fe  0.500  0.500  0.500

Values from the calculation:
- formation energy from the elements (eV/f.u.) = 12.69
- E_tot (eV per atom) = -5.906

Computed, not measured: a geometry-optimized CaFeHg2 structure at the GGA-PBE level of DFT.

abc: 3.5492 3.5492 26.5336
angles: 90.00 90.00 120.00
Space group R3m (No. 160, hexagonal axes)
Unique sites:
Ca  0.0000  0.0000  0.0000
Fe  0.0000  0.0000  0.7516
Hg  0.0000  0.0000  0.2412
Hg  0.0000  0.0000  0.4867

Values from the calculation:
- formation energy from the elements (eV/f.u.) = 1.25
- E_tot (eV per atom) = -2.455

Computed, not measured: a geometry-optimized Ca3FeHg structure at the GGA-PBE level of DFT.

abc: 5.311 5.311 5.311
angles: 90.00 90.00 90.00
Space group Pm-3m (No. 221)
Unique sites:
Ca  0.000  0.000  0.500
Fe  0.000  0.000  0.000
Hg  0.500  0.500  0.500

Values from the calculation:
- formation energy from the elements (eV/f.u.) = 1.49
- energy above the most stable polymorph in this dataset (eV per atom) = 0.000
- E_tot (eV per atom) = -2.656

Computed, not measured: a geometry-optimized Ca2Fe2Hg structure at the GGA-PBE level of DFT.

abc: 8.551 8.551 3.408
angles: 90.00 90.00 90.00
Space group P4/mbm (No. 127)
Unique sites:
Ca  0.190  0.310  0.000
Fe  0.089  0.589  0.500
Hg  0.000  0.000  0.000

Values from the calculation:
- formation energy from the elements (eV/f.u.) = 2.19
- energy above the most stable polymorph in this dataset (eV per atom) = 0.160
- E_tot (eV per atom) = -3.808

Computed, not measured: a geometry-optimized CaFeHg4 structure at the GGA-PBE level of DFT.

abc: 8.304 8.304 8.304
angles: 90.00 90.00 90.00
Space group F-43m (No. 216)
Unique sites:
Ca  0.000  0.000  0.000
Fe  0.250  0.250  0.750
Hg  0.125  0.125  0.375

Values from the calculation:
- formation energy from the elements (eV/f.u.) = 1.63
- E_tot (eV per atom) = -1.674

| no. | D(E_F) (states/eV per cell) |
| --- | --- |
| 1 | 10.7 |
| 2 | 9.3 |
| 3 | 10.1 |
| 4 | 6.9 |
| 5 | 7.0 |
| 6 | 38.8 |